Run one
HgAu2Cl: optimized geometry, GGA-PBE.

Cell: 6.9366 6.9366 6.9366 Å, 90.00 90.00 90.00°
With the nearest neighbours (Å) after each atom.
Sites, in units of the cell vectors:
Hg  0.0000  0.0000  0.0000  4 Cl 3.00, 4 Au 3.00
Hg  0.0000  0.5000  0.5000  4 Cl 3.00, 4 Au 3.00
Hg  0.5000  0.0000  0.5000  4 Cl 3.00, 4 Au 3.00
Hg  0.5000  0.5000  0.0000  4 Cl 3.00, 4 Au 3.00
Au  0.0000  0.0000  0.5000  4 Au 3.00, 4 Cl 3.00
Au  0.0000  0.5000  0.0000  4 Au 3.00, 4 Cl 3.00
Au  0.2500  0.2500  0.7500  4 Hg 3.00, 4 Au 3.00
Au  0.2500  0.7500  0.2500  4 Hg 3.00, 4 Au 3.00
Au  0.5000  0.0000  0.0000  4 Au 3.00, 4 Cl 3.00
Au  0.5000  0.5000  0.5000  4 Au 3.00, 4 Cl 3.00
Au  0.7500  0.2500  0.2500  4 Hg 3.00, 4 Au 3.00
Au  0.7500  0.7500  0.7500  4 Hg 3.00, 4 Au 3.00
Cl  0.2500  0.2500  0.2500  4 Hg 3.00, 4 Au 3.00
Cl  0.2500  0.7500  0.7500  4 Hg 3.00, 4 Au 3.00
Cl  0.7500  0.2500  0.7500  4 Hg 3.00, 4 Au 3.00
Cl  0.7500  0.7500  0.2500  4 Hg 3.00, 4 Au 3.00

calculated density = 12.5 g/cm3



Run two
HgAu2Cl: optimized geometry, GGA-PBE.

Cell: 7.7024 7.7024 5.9008 Å, 90.00 90.00 90.00°
With the nearest neighbours (Å) after each atom.
Sites, in units of the cell vectors:
Hg  0.0000  0.0000  0.0000  4 Au 2.82, 2 Cl 2.95
Hg  0.0000  0.5000  0.2500  4 Au 2.82, 2 Cl 2.95
Hg  0.5000  0.0000  0.7500  4 Au 2.82, 2 Cl 2.95
Hg  0.5000  0.5000  0.5000  4 Au 2.82, 2 Cl 2.95
Au  0.2500  0.2497  0.3750  2 Cl 2.82, 2 Hg 2.82, 2 Au 2.95
Au  0.2500  0.2503  0.8750  2 Cl 2.82, 2 Hg 2.82, 2 Au 2.95
Au  0.2503  0.7500  0.1250  2 Cl 2.82, 2 Hg 2.82, 2 Au 2.95
Au  0.2497  0.7500  0.6250  2 Cl 2.82, 2 Hg 2.82, 2 Au 2.95
Au  0.7497  0.2500  0.1250  2 Cl 2.82, 2 Hg 2.82, 2 Au 2.95
Au  0.7503  0.2500  0.6250  2 Cl 2.82, 2 Hg 2.82, 2 Au 2.95
Au  0.7500  0.7503  0.3750  2 Cl 2.82, 2 Hg 2.82, 2 Au 2.95
Au  0.7500  0.7497  0.8750  2 Cl 2.82, 2 Hg 2.82, 2 Au 2.95
Cl  0.0000  0.0000  0.5000  4 Au 2.82, 2 Hg 2.95
Cl  0.0000  0.5000  0.7500  4 Au 2.82, 2 Hg 2.95
Cl  0.5000  0.0000  0.2500  4 Au 2.82, 2 Hg 2.95
Cl  0.5000  0.5000  0.0000  4 Au 2.82, 2 Hg 2.95

calculated density = 12.0 g/cm3



Taking the most stable structure as the zero point, the relative energies in meV/atom are run one 112; run two 0.



Run one
SrTlTe: optimized geometry, GGA-PBE.

Cell: 7.8328 7.8328 7.8328 Å, 90.00 90.00 90.00°
With the nearest neighbours (Å) after each atom.
Sites, in units of the cell vectors:
Sr  0.0000  0.0000  0.0000  4 Te 3.39
Sr  0.0000  0.5000  0.5000  4 Te 3.39
Sr  0.5000  0.0000  0.5000  4 Te 3.39
Sr  0.5000  0.5000  0.0000  4 Te 3.39
Tl  0.0000  0.0000  0.5000  4 Te 3.39
Tl  0.0000  0.5000  0.0000  4 Te 3.39
Tl  0.5000  0.0000  0.0000  4 Te 3.39
Tl  0.5000  0.5000  0.5000  4 Te 3.39
Te  0.2500  0.2500  0.7500  4 Tl 3.39, 4 Sr 3.39
Te  0.2500  0.7500  0.2500  4 Tl 3.39, 4 Sr 3.39
Te  0.7500  0.2500  0.2500  4 Tl 3.39, 4 Sr 3.39
Te  0.7500  0.7500  0.7500  4 Tl 3.39, 4 Sr 3.39

calculated density = 5.8 g/cm3



Run two
SrTlTe: optimized geometry, GGA-PBE.

Cell: 4.4446 4.4446 10.8835 Å, 90.00 90.00 90.00°
With the nearest neighbours (Å) after each atom.
Sites, in units of the cell vectors:
Sr  0.0000  0.0000  0.0000  4 Te 3.37, 5 Tl 3.47-3.71
Sr  0.5000  0.5000  0.5000  4 Te 3.37, 5 Tl 3.47-3.71
Tl  0.0000  0.0000  0.3186  1 Te 3.19, 1 Sr 3.47
Tl  0.5000  0.5000  0.8186  1 Te 3.19, 1 Sr 3.47
Te  0.0000  0.0000  0.6119  1 Tl 3.19, 4 Sr 3.37
Te  0.5000  0.5000  0.1119  1 Tl 3.19, 4 Sr 3.37

calculated density = 6.5 g/cm3



Taking the most stable structure as the zero point, the relative energies in meV/atom are run one 27; run two 0.



Run one
AlZnSi2: optimized geometry, GGA-PBE.

Cell: 3.0101 3.0101 23.9968 Å, 90.00 90.00 120.00°
With the nearest neighbours (Å) after each atom.
Sites, in units of the cell vectors:
Al  0.0000  0.0000  0.0000  3 Si 2.68, 3 Zn 2.73
Al  0.3333  0.6667  0.6667  3 Si 2.68, 3 Zn 2.73
Al  0.6667  0.3333  0.3333  3 Si 2.68, 3 Zn 2.73
Zn  0.0000  0.0000  0.2457  3 Si 2.67, 3 Al 2.73
Zn  0.3333  0.6667  0.9123  3 Si 2.67, 3 Al 2.73
Zn  0.6667  0.3333  0.5790  3 Si 2.67, 3 Al 2.73
Si  0.0000  0.0000  0.4944  3 Si 2.51, 3 Zn 2.67
Si  0.0000  0.0000  0.7519  3 Si 2.51, 3 Al 2.68
Si  0.3333  0.6667  0.1610  3 Si 2.51, 3 Zn 2.67
Si  0.3333  0.6667  0.4186  3 Si 2.51, 3 Al 2.68
Si  0.6667  0.3333  0.0853  3 Si 2.51, 3 Al 2.68
Si  0.6667  0.3333  0.8277  3 Si 2.51, 3 Zn 2.67

calculated density = 3.9 g/cm3



Run two
AlZnSi2: optimized geometry, GGA-PBE.

Cell: 6.3273 6.3273 6.3273 Å, 90.00 90.00 90.00°
With the nearest neighbours (Å) after each atom.
Sites, in units of the cell vectors:
Al  0.0000  0.0000  0.0000  4 Si 2.74, 4 Zn 2.74
Al  0.0000  0.5000  0.5000  4 Si 2.74, 4 Zn 2.74
Al  0.5000  0.0000  0.5000  4 Si 2.74, 4 Zn 2.74
Al  0.5000  0.5000  0.0000  4 Si 2.74, 4 Zn 2.74
Zn  0.2500  0.2500  0.2500  4 Al 2.74, 4 Si 2.74
Zn  0.2500  0.7500  0.7500  4 Al 2.74, 4 Si 2.74
Zn  0.7500  0.2500  0.7500  4 Al 2.74, 4 Si 2.74
Zn  0.7500  0.7500  0.2500  4 Al 2.74, 4 Si 2.74
Si  0.0000  0.0000  0.5000  4 Zn 2.74, 4 Si 2.74
Si  0.0000  0.5000  0.0000  4 Zn 2.74, 4 Si 2.74
Si  0.2500  0.2500  0.7500  4 Si 2.74, 4 Al 2.74
Si  0.2500  0.7500  0.2500  4 Si 2.74, 4 Al 2.74
Si  0.5000  0.0000  0.0000  4 Zn 2.74, 4 Si 2.74
Si  0.5000  0.5000  0.5000  4 Zn 2.74, 4 Si 2.74
Si  0.7500  0.2500  0.2500  4 Si 2.74, 4 Al 2.74
Si  0.7500  0.7500  0.7500  4 Si 2.74, 4 Al 2.74

calculated density = 3.9 g/cm3



Taking the most stable structure as the zero point, the relative energies in meV/atom are run one 0; run two 69.



Run one
MoIrRu2: optimized geometry, GGA-PBE.

Cell: 2.7410 2.7410 26.8698 Å, 90.00 90.00 120.00°
With the nearest neighbours (Å) after each atom.
Sites, in units of the cell vectors:
Mo  0.0000  0.0000  0.0000  6 Mo 2.74, 3 Ir 2.75, 3 Ru 2.78
Mo  0.3333  0.6667  0.6667  6 Mo 2.74, 3 Ir 2.75, 3 Ru 2.78
Mo  0.6667  0.3333  0.3333  6 Mo 2.74, 3 Ir 2.75, 3 Ru 2.78
Ir  0.0000  0.0000  0.2494  6 Ir 2.74, 3 Ru 2.75, 3 Mo 2.75
Ir  0.3333  0.6667  0.9161  6 Ir 2.74, 3 Ru 2.75, 3 Mo 2.75
Ir  0.6667  0.3333  0.5828  6 Ir 2.74, 3 Ru 2.75, 3 Mo 2.75
Ru  0.0000  0.0000  0.4993  9 Ru 2.69-2.74, 3 Ir 2.75
Ru  0.0000  0.0000  0.7517  9 Ru 2.69-2.74, 3 Mo 2.78
Ru  0.3333  0.6667  0.1660  9 Ru 2.69-2.74, 3 Ir 2.75
Ru  0.3333  0.6667  0.4183  9 Ru 2.69-2.74, 3 Mo 2.78
Ru  0.6667  0.3333  0.0850  9 Ru 2.69-2.74, 3 Mo 2.78
Ru  0.6667  0.3333  0.8326  9 Ru 2.69-2.74, 3 Ir 2.75

calculated density = 14.0 g/cm3



Run two
MoIrRu2: optimized geometry, GGA-PBE.

Cell: 3.8692 3.8692 7.7423 Å, 90.00 90.00 90.00°
With the nearest neighbours (Å) after each atom.
Sites, in units of the cell vectors:
Mo  0.0000  0.0000  0.0000  8 Ru 2.74, 4 Ir 2.74
Mo  0.5000  0.5000  0.5000  8 Ru 2.74, 4 Ir 2.74
Ir  0.0000  0.5000  0.2500  8 Ru 2.74, 4 Mo 2.74
Ir  0.5000  0.0000  0.7500  8 Ru 2.74, 4 Mo 2.74
Ru  0.0000  0.0000  0.5000  4 Mo 2.74, 4 Ru 2.74, 4 Ir 2.74
Ru  0.0000  0.5000  0.7500  4 Ir 2.74, 4 Mo 2.74, 4 Ru 2.74
Ru  0.5000  0.0000  0.2500  4 Ir 2.74, 4 Mo 2.74, 4 Ru 2.74
Ru  0.5000  0.5000  0.0000  4 Mo 2.74, 4 Ru 2.74, 4 Ir 2.74

calculated density = 14.0 g/cm3



Taking the most stable structure as the zero point, the relative energies in meV/atom are run one 155; run two 0.